[1]
DFT (PBE) results for a relaxed Y2Rh2N crystal.

The space group is I4/mmm (No. 139) and the conventional cell measures 5.487, 5.487 and 6.660 Å, with angles of 90.00, 90.00 and 90.00 degrees. The asymmetric unit holds Y at (0.000, 0.500, 0.250), Rh at (0.000, 0.000, 0.207) and N at (0.000, 0.000, 0.500).

The energy above the lowest structure with this stoichiometry is 0.000 eV per atom. The energy relative to the elements, uncorrected is -0.3 eV per formula unit.

[2]
DFT (PBE) results for a relaxed ReTeCl2 crystal.

The space group is I-42d (No. 122) and the conventional cell measures 7.037, 7.037 and 8.885 Å, with angles of 90.00, 90.00 and 90.00 degrees. The asymmetric unit holds Re at (0.000, 0.000, 0.000), Te at (0.000, 0.000, 0.500) and Cl at (0.121, 0.750, 0.125).

The energy above the lowest structure with this stoichiometry is 0.921 eV per atom. The energy relative to the elements, uncorrected is 3.4 eV per formula unit.

[3]
DFT (PBE) results for a relaxed TaHg2As crystal.

The space group is P4mm (No. 99) and the conventional cell measures 3.391, 3.391 and 7.187 Å, with angles of 90.00, 90.00 and 90.00 degrees. The asymmetric unit holds Ta at (0.000, 0.000, 0.000), Hg at (0.000, 0.000, 0.436), Hg at (0.500, 0.500, 0.724) and As at (0.500, 0.500, 0.149).

Here are the calculated DFT total energy numbers, same order: -7.250, -3.978, -4.178 (eV/atom).
Here are the calculated density of states at the Fermi level numbers, same order: 6.2, 16.4, 1.3 (states/eV/cell).